(1)
Below is a relaxed PmCoTe2 crystal, with properties calculated at the PBE level.

Calculated values
- E: -4.708 eV per atom
- Space group: R-3m
- Formation energy from raw total energies: -0.1729 eV/atom

Cell: 3.7489 3.7489 9.3305 Å, 78.41 78.41 60.00°
Closest atoms and distances in Å follow each position.
Positions (direct):
Te 0.1160 0.1160 0.6521  3 Co 2.57
Te 0.8840 0.8840 0.3479  3 Co 2.57
Co 0.5000 0.5000 0.5000  6 Te 2.57
Pm 0.0000 0.0000 0.0000  2 Te 3.16



(2)
Below is a relaxed V2TeW crystal, with properties calculated at the PBE level.

Calculated values
- E: -7.773 eV per atom
- Space group: I-42d
- Formation energy from raw total energies: 0.8100 eV/atom

Cell: 3.9738 3.9738 9.4444 Å, 77.86 77.86 90.00°
Closest atoms and distances in Å follow each position.
Positions (direct):
Te 0.5000 0.5000 0.0000  4 V 2.63, 4 W 2.81
Te 0.2500 0.7500 0.5000  4 V 2.63, 4 W 2.81
W 0.0000 0.0000 0.0000  4 V 2.68, 4 Te 2.81
W 0.7500 0.2500 0.5000  4 V 2.68, 4 Te 2.81
V 0.6080 0.1250 0.2500  2 Te 2.63, 2 W 2.68, 4 V 2.72-2.91
V 0.1420 0.6250 0.2500  2 Te 2.63, 2 W 2.68, 4 V 2.72-2.91
V 0.3750 0.3920 0.7500  2 Te 2.63, 2 W 2.68, 4 V 2.72-2.91
V 0.8750 0.8580 0.7500  2 Te 2.63, 2 W 2.68, 4 V 2.72-2.91



(3)
Below is a relaxed SiHg2Ru crystal, with properties calculated at the PBE level.

Calculated values
- E: -3.317 eV per atom
- Space group: C2/m
- Formation energy from raw total energies: 0.5085 eV/atom

Cell: 4.5492 5.8264 3.2204 Å, 72.21 94.29 114.27°
Closest atoms and distances in Å follow each position.
Positions (direct):
Hg 0.0000 0.0000 0.0000  4 Hg 2.69-2.88, 2 Ru 2.87, 2 Si 2.87
Hg 0.5000 0.0000 0.5000  4 Hg 2.69-2.88, 2 Si 2.87, 2 Ru 2.87
Ru 0.0000 0.5000 0.5000  4 Si 2.69-2.88, 4 Hg 2.87
Si 0.5000 0.5000 0.0000  4 Ru 2.69-2.88, 4 Hg 2.87



(4)
Below is a relaxed MnZn6Cu5 crystal, with properties calculated at the PBE level.

Calculated values
- E: -3.154 eV per atom
- Space group: C2/m
- Formation energy: -0.046 eV per atom

Cell: 3.8059 7.0476 7.0476 Å, 108.70 105.60 105.60°
Closest atoms and distances in Å follow each position.
Positions (direct):
Zn 0.2553 0.0884 0.4215  7 Cu 2.61-2.66, 1 Mn 2.66, 4 Zn 2.69-2.70
Zn 0.7447 0.5785 0.9116  7 Cu 2.61-2.66, 1 Mn 2.66, 4 Zn 2.69-2.70
Zn 0.7572 0.2570 0.2570  6 Cu 2.60-2.66, 2 Mn 2.67, 4 Zn 2.69-2.70
Zn 0.2428 0.7430 0.7430  6 Cu 2.60-2.66, 2 Mn 2.67, 4 Zn 2.69-2.70
Zn 0.2553 0.4215 0.0884  7 Cu 2.61-2.66, 1 Mn 2.66, 4 Zn 2.69-2.70
Zn 0.7447 0.9116 0.5785  7 Cu 2.61-2.66, 1 Mn 2.66, 4 Zn 2.69-2.70
Mn 0.0000 0.0000 0.0000  8 Zn 2.66-2.67, 4 Cu 2.68
Cu 0.5000 0.1653 0.8347  8 Zn 2.63-2.66, 2 Cu 2.66, 2 Mn 2.68
Cu 0.0000 0.3279 0.6721  8 Zn 2.61-2.65, 4 Cu 2.66-2.74
Cu 0.5000 0.5000 0.5000  8 Zn 2.60-2.61, 4 Cu 2.74
Cu 0.0000 0.6721 0.3279  8 Zn 2.61-2.65, 4 Cu 2.66-2.74
Cu 0.5000 0.8347 0.1653  8 Zn 2.63-2.66, 2 Cu 2.66, 2 Mn 2.68



(5)
Below is a relaxed Sc6PS3 crystal, with properties calculated at the PBE level.

Calculated values
- E: -7.012 eV per atom
- Space group: P2_1/m
- Formation energy from raw total energies: -1.4335 eV/atom

Cell: 3.6285 10.9480 10.6370 Å, 113.85 90.00 90.00°
Closest atoms and distances in Å follow each position.
Positions (direct):
Sc 0.7500 0.4457 0.6047  3 S 2.50-2.59
Sc 0.2500 0.5543 0.3953  3 S 2.50-2.59
Sc 0.7500 0.9325 0.0972  3 S 2.53-2.56, 2 P 2.71
Sc 0.2500 0.0675 0.9028  3 S 2.53-2.56, 2 P 2.71
Sc 0.7500 0.3811 0.0621  4 S 2.54-2.63
Sc 0.2500 0.6189 0.9379  4 S 2.54-2.63
Sc 0.7500 0.7434 0.2493  3 S 2.49-2.58, 2 P 2.72
Sc 0.2500 0.2566 0.7507  3 S 2.49-2.58, 2 P 2.72
Sc 0.7500 0.0960 0.4622  2 S 2.55, 3 P 2.65-2.82
Sc 0.2500 0.9040 0.5378  2 S 2.55, 3 P 2.65-2.82
Sc 0.7500 0.7841 0.7299  3 S 2.51-2.54
Sc 0.2500 0.2159 0.2701  3 S 2.51-2.54
P 0.7500 0.0592 0.7100  7 Sc 2.65-2.82
P 0.2500 0.9408 0.2900  7 Sc 2.65-2.82
S 0.7500 0.4384 0.8447  6 Sc 2.57-2.63
S 0.2500 0.5616 0.1553  6 Sc 2.57-2.63
S 0.7500 0.7260 0.4758  6 Sc 2.49-2.55
S 0.2500 0.2740 0.5242  6 Sc 2.49-2.55
S 0.7500 0.1599 0.0875  6 Sc 2.53-2.56
S 0.2500 0.8401 0.9125  6 Sc 2.53-2.56



(6)
Below is a relaxed ZrCr2Cd crystal, with properties calculated at the PBE level.

Calculated values
- E: -6.858 eV per atom
- Space group: F-43m
- Formation energy: 0.320 eV per atom

Cell: 4.6839 4.6839 4.6839 Å, 60.00 60.00 60.00°
Closest atoms and distances in Å follow each position.
Positions (direct):
Cd 0.5000 0.5000 0.5000  4 Cr 2.87, 4 Zr 2.87
Cr 0.0000 0.0000 0.0000  4 Zr 2.87, 4 Cr 2.87
Cr 0.2500 0.2500 0.2500  4 Cd 2.87, 4 Cr 2.87
Zr 0.7500 0.7500 0.7500  4 Cd 2.87, 4 Cr 2.87